--- P ---
First-principles (PBE-GGA) data for crystalline Bi2S2Cl at its relaxed geometry, as listed in Alexandria via LeMat-Bulk.

Lattice parameters (Å, degrees): 7.3399 7.1617 6.8148 99.14 108.37 112.26
Fractional coordinates of all 10 atoms:
Bi  0.7930  0.6279  0.9783
Bi  0.6594  0.8201  0.5286
Bi  0.2070  0.3721  0.0217
Bi  0.3406  0.1799  0.4714
S  0.7310  0.2466  0.7450
S  0.6106  0.4581  0.2603
S  0.3894  0.5419  0.7397
S  0.2690  0.7534  0.2550
Cl  0.1340  0.9703  0.7563
Cl  0.8660  0.0297  0.2437

## Properties
- calculated volume (Å³/cell) = 298.4
- spin magnetization (μB/f.u.) = 0.00
- DOS at the Fermi energy (states/eV per cell) = 1.0
- mass density (g/cm3) = 5.76

=====

--- Q ---
First-principles (PBE-GGA) data for crystalline Bi2S2Cl at its relaxed geometry, as listed in Alexandria via LeMat-Bulk.

Lattice parameters (Å, degrees): 4.2689 4.2689 10.5298 77.01 77.01 58.19
Fractional coordinates of all 5 atoms:
Bi  0.6018  0.1018  0.2020
Bi  0.3982  0.8982  0.7980
S  0.2254  0.7254  0.3219
S  0.7746  0.2746  0.6781
Cl  0.0000  0.5000  0.0000

## Properties
- calculated volume (Å³/cell) = 157.6
- spin magnetization (μB/f.u.) = 0.00
- DOS at the Fermi energy (states/eV per cell) = 2.0
- mass density (g/cm3) = 5.45

=====

The relative energies come out as P 0; Q 29, with values in meV per atom.